Here is crystalline InAsSe2 at its relaxed geometry from Alexandria via LeMat-Bulk. Energies are from GGA-PBE.

Output
The value obtained for the total energy is -3.264 eV per atom. The formation energy without anion corrections comes out at 126 kJ/mol of formula units. The space group is F-43m (216).

Cell lengths 7.033, 7.033, 7.033 Å; angles 90.00, 90.00, 90.00 degrees
Atoms (fractional coordinates):
1 In 0.000 0.000 0.000
2 In 0.000 0.500 0.500
3 In 0.500 0.000 0.500
4 In 0.500 0.500 0.000
5 As 0.250 0.250 0.250
6 As 0.250 0.750 0.750
7 As 0.750 0.250 0.750
8 As 0.750 0.750 0.250
9 Se 0.000 0.000 0.500
10 Se 0.000 0.500 0.000
11 Se 0.250 0.250 0.750
12 Se 0.250 0.750 0.250
13 Se 0.500 0.000 0.000
14 Se 0.500 0.500 0.500
15 Se 0.750 0.250 0.250
16 Se 0.750 0.750 0.750